Entry 1:
5
Lattice="5.241 0.000 0.000 0.000 5.241 0.000 0.000 0.000 5.241" Properties=species:S:1:pos:R:3 comment="Y3MgS | the Alexandria database | PBE-GGA | relaxed" total_energy_ev_per_atom=-5.76 raw_formation_energy_mev_per_atom=-738 crystal_system=cubic n_ef_per_ev_cell=4.16 magnetic_moment_mub_per_cell=0.00 pbc="T T T"
Y 0.000 2.620 0.000
Y 0.000 0.000 2.620
Y 2.620 0.000 0.000
S 0.000 0.000 0.000
Mg 2.620 2.620 2.620

---

Entry 2:
20
Lattice="-6.619 -5.219 5.031 6.980 -3.089 5.013 -3.737 7.980 2.396" Properties=species:S:1:pos:R:3 comment="AcTb2Pr6Er | the Alexandria database | PBE-GGA | relaxed" total_energy_ev_per_atom=-4.54 crystal_system=monoclinic n_ef_per_ev_cell=28.90 formation_energy_ev_per_atom=0.117 magnetic_moment_mub_per_cell=0.00 pbc="T T T"
Ac 5.047 -4.107 6.203
Ac -8.424 3.779 6.237
Tb -0.010 0.654 7.912
Tb 1.115 0.416 2.299
Tb -3.367 -0.983 4.528
Tb -4.492 -0.745 10.141
Pr -2.307 5.365 2.705
Pr -4.521 3.899 5.568
Pr -1.070 -5.693 9.735
Pr 1.143 -4.227 6.872
Pr 3.205 -1.171 7.610
Pr 2.628 -2.642 3.756
Pr -6.582 0.843 4.830
Pr -6.005 2.313 8.684
Pr 2.335 1.130 5.325
Pr -0.081 -1.246 5.166
Pr -5.712 -1.458 7.115
Pr -3.296 0.918 7.274
Er -0.965 2.102 4.735
Er -2.412 -2.431 7.705

---

Entry 3:
10
Lattice="6.895 -0.206 -0.294 -2.085 6.576 0.294 -2.935 -2.784 5.501" Properties=species:S:1:pos:R:3 comment="TbIn3Rh | the Alexandria database | PBE-GGA | relaxed" total_energy_ev_per_atom=-4.39 crystal_system=monoclinic n_ef_per_ev_cell=4.87 formation_energy_ev_per_atom=-0.347 magnetic_moment_mub_per_cell=0.00 pbc="T T T"
Tb 2.664 -2.012 4.095
Tb -0.789 5.597 1.406
In 4.568 -0.380 1.691
In -0.470 2.286 1.985
In 2.345 1.299 3.516
In 3.571 2.304 0.548
In -2.693 3.965 3.810
In -1.696 1.281 4.953
Rh 1.808 3.636 2.113
Rh 0.067 -0.051 3.388

---

Please write out number 3 again, unchanged.
10
Lattice="6.895 -0.206 -0.294 -2.085 6.576 0.294 -2.935 -2.784 5.501" Properties=species:S:1:pos:R:3 comment="TbIn3Rh | the Alexandria database | PBE-GGA | relaxed" total_energy_ev_per_atom=-4.39 crystal_system=monoclinic n_ef_per_ev_cell=4.87 formation_energy_ev_per_atom=-0.347 magnetic_moment_mub_per_cell=0.00 pbc="T T T"
Tb 2.664 -2.012 4.095
Tb -0.789 5.597 1.406
In 4.568 -0.380 1.691
In -0.470 2.286 1.985
In 2.345 1.299 3.516
In 3.571 2.304 0.548
In -2.693 3.965 3.810
In -1.696 1.281 4.953
Rh 1.808 3.636 2.113
Rh 0.067 -0.051 3.388